Computed, not measured: crystalline AlRuF6 at its relaxed geometry at the PBE-GGA level of DFT.

Summary:
- ρ: 4.41 g/cm3
- Raw formation energy: -2.45 eV/atom
- E_tot: -5.4816 eV/atom

Unit cell a=4.823 b=4.823 c=9.040 alpha=90.00 beta=90.00 gamma=120.00
Sites, in units of the cell vectors:
Al 0.000 0.000 0.500
Al 0.000 0.000 0.000
Ru 0.333 0.667 0.250
Ru 0.667 0.333 0.750
F 0.308 0.316 0.383
F 0.692 0.684 0.617
F 0.008 0.692 0.383
F 0.308 0.992 0.117
F 0.992 0.308 0.617
F 0.692 0.008 0.883
F 0.684 0.992 0.383
F 0.008 0.316 0.117
F 0.316 0.008 0.617
F 0.992 0.684 0.883
F 0.684 0.692 0.117
F 0.316 0.308 0.883